DFT (PBE) results for Dy3HoPt after structural relaxation.

Summary:
Volume: 28.281 Å³ per atom
VASP energy: -5.358 eV per atom
SG: P2_1/m (11)
Magnetization: 0.000 μB per formula unit
Formation energy from the elements: -0.47 eV/atom

abc: 5.1247 6.3849 8.7071
angles: 96.95 90.00 90.00
Positions (direct):
Dy: 0.8757 0.4617 0.5090
Dy: 0.8756 0.9519 0.7114
Dy: 0.3756 0.8910 0.3925
Dy: 0.8758 0.5015 0.9296
Dy: 0.3758 0.8514 0.9719
Dy: 0.3756 0.4009 0.1901
Pt: 0.3754 0.7068 0.6615
Pt: 0.8755 0.6460 0.2400
Ho: 0.3757 0.2872 0.7388
Ho: 0.8757 0.0655 0.1627


DFT (PBE) results for MgSbRh4 after structural relaxation.

Summary:
Volume: 16.883 Å³ per atom
VASP energy: -5.926 eV per atom
SG: F-43m (216)
E_form (uncorrected): -0.07 eV/atom
Magnetization: 0.000 μB per formula unit

abc: 5.2325 5.2325 5.2325
angles: 60.00 60.00 60.00
Positions (direct):
Rh: 0.3750 0.8750 0.3750
Rh: 0.3750 0.3750 0.3750
Rh: 0.3750 0.3750 0.8750
Rh: 0.8750 0.3750 0.3750
Sb: 0.7500 0.7500 0.7500
Mg: 0.0000 0.0000 0.0000


DFT (PBE) results for CaSc2Mn after structural relaxation.

Summary:
Offset from the most stable computed form: 104.4 meV per atom
Volume: 25.026 Å³ per atom
VASP energy: -5.741 eV per atom
SG: P4mm (99)
Magnetization: 1.959 μB per formula unit
Formation energy from the elements: 0.22 eV/atom

abc: 3.5606 3.5655 7.8851
angles: 90.00 90.00 90.00
Positions (direct):
Mn: 0.5000 0.5000 0.8064
Ca: 0.0000 0.0000 0.5388
Sc: 0.5000 0.5000 0.1999
Sc: 0.0000 0.0000 0.9549


DFT (PBE) results for NiNCl3 after structural relaxation.

Summary:
Offset from the most stable computed form: 511.7 meV per atom
Volume: 16.942 Å³ per atom
VASP energy: -2.725 eV per atom
SG: Pm-3m (221)
E_form (uncorrected): 1.20 eV/atom
Magnetization: 1.292 μB per formula unit

abc: 4.3919 4.3919 4.3919
angles: 90.00 90.00 90.00
Positions (direct):
Cl: 0.0000 0.5000 0.0000
Cl: 0.5000 0.0000 0.0000
Cl: 0.0000 0.0000 0.5000
Ni: 0.5000 0.5000 0.5000
N: 0.0000 0.0000 0.0000


DFT (PBE) results for YTm5S6 after structural relaxation.

Summary:
Volume: 20.228 Å³ per atom
VASP energy: -6.408 eV per atom
SG: C2/m (12)
E_form (uncorrected): -1.94 eV/atom
Magnetization: 0.000 μB per formula unit

abc: 6.6630 6.6750 6.6878
angles: 60.06 80.34 70.34
Positions (direct):
Tm: 0.0000 0.6660 0.6680
Tm: 0.5000 0.5000 0.0000
Tm: 0.5000 0.8359 0.3283
Tm: 0.5000 0.1641 0.6717
Tm: 0.0000 0.3340 0.3320
S: 0.7471 0.4222 0.6619
S: 0.2529 0.9159 0.6619
S: 0.7471 0.0841 0.3381
S: 0.2512 0.2539 0.0000
S: 0.7488 0.7461 0.0000
S: 0.2529 0.5778 0.3381
Y: 0.0000 0.0000 0.0000


DFT (PBE) results for TbHgCl2 after structural relaxation.

Summary:
Volume: 34.319 Å³ per atom
VASP energy: -3.579 eV per atom
SG: R-3m (166)
E_form (uncorrected): -1.42 eV/atom
Magnetization: 0.018 μB per formula unit

abc: 3.7289 3.7289 11.6012
angles: 80.75 80.75 60.00
Positions (direct):
Cl: 0.8830 0.8830 0.3509
Cl: 0.1170 0.1170 0.6491
Hg: 0.0000 0.0000 0.0000
Tb: 0.5000 0.5000 0.5000


DFT (PBE) results for Pm8PrSm4 after structural relaxation.

Summary:
Volume: 38.345 Å³ per atom
VASP energy: -4.260 eV per atom
SG: R-3m (166)
Magnetization: 0.906 μB per formula unit
Formation energy from the elements: 0.48 eV/atom

abc: 11.3054 11.3054 7.9301
angles: 90.00 135.46 120.00
Positions (direct):
Pm: 0.0109 0.7648 0.7757
Pm: 0.9891 0.2352 0.2243
Pm: 0.5297 0.7648 0.7757
Pm: 0.4738 0.2369 0.7107
Pm: 0.0109 0.2460 0.7757
Pm: 0.4703 0.2352 0.2243
Pm: 0.9891 0.7540 0.2243
Pm: 0.5262 0.7631 0.2893
Sm: 0.0000 0.0000 0.0000
Sm: 0.0000 0.5000 0.0000
Sm: 0.5000 0.5000 0.0000
Sm: 0.5000 0.0000 0.0000
Pr: 0.0000 0.5000 0.5000


DFT (PBE) results for K2Na5Li after structural relaxation.

Summary:
Offset from the most stable computed form: 20.6 meV per atom
Volume: 42.903 Å³ per atom
VASP energy: -1.268 eV per atom
SG: Cm (8)
Magnetization: 0.000 μB per formula unit
Formation energy from the elements: 0.07 eV/atom

abc: 7.9090 7.8462 7.8462
angles: 88.48 120.53 120.53
Positions (direct):
Na: 0.9992 0.7786 0.2762
Na: 0.5090 0.2920 0.2920
Na: 0.0141 0.2848 0.2848
Na: 0.5050 0.7719 0.7719
Na: 0.9992 0.2762 0.7786
Li: 0.9803 0.7665 0.7665
K: 0.4965 0.2656 0.7874
K: 0.4965 0.7874 0.2656